No. 1
This record from Alexandria describes a geometry-optimized HoTmAs2 structure. The functional is PBE.

Properties
Size of the total moment ... 0.00 μB per formula unit
Final energy ... -6.10 eV/atom
Calculated density ... 8352 kg/m³
N(E_F) ... 0.128 states/eV/atom
Formation energy from the elements ... -1.5173 eV per atom

Cell and atoms, written as POSCAR:
```
HoTmAs2
1.0
2.0414 1.1786 6.6611
-2.0414 1.1786 6.6611
0.0000 -2.3572 6.6611
Ho Tm As
1 1 2
Cartesian
0.0000 0.0000 0.0000
0.0000 0.0000 9.9917
0.0000 0.0000 4.9816
0.0000 0.0000 15.0017
```

---

No. 2
This record from Alexandria describes a geometry-optimized HoTmU2As4 structure. The functional is PBE.

Properties
Size of the total moment ... 4.95 μB per formula unit
Final energy ... -7.40 eV/atom
Calculated density ... 9586 kg/m³
N(E_F) ... 0.870 states/eV/atom
Formation energy from the elements ... -1.1261 eV per atom

Cell and atoms, written as POSCAR:
```
HoTmU2As4
1.0
7.0173 0.0000 0.0000
0.0000 4.0504 0.0000
-2.3379 0.0000 6.7625
Ho Tm U As
1 1 2 4
Cartesian
0.0000 0.0000 0.0000
3.5087 2.0252 0.0000
-1.1689 2.0252 3.3813
2.3397 0.0000 3.3813
1.1778 2.0252 1.6852
0.0090 0.0000 5.0833
4.6705 0.0000 1.6792
3.5017 2.0252 5.0774
```

---

No. 3
This record from Alexandria describes a geometry-optimized YHo2TmAs4 structure. The functional is PBE.

Properties
Size of the total moment ... 0.00 μB per formula unit
Final energy ... -6.37 eV/atom
Calculated density ... 7576 kg/m³
N(E_F) ... 0.133 states/eV/atom
Formation energy from the elements ... -1.5297 eV per atom

Cell and atoms, written as POSCAR:
```
YHo2TmAs4
1.0
7.0948 0.0000 0.0000
0.0000 4.0980 0.0000
-2.3640 0.0000 6.6894
Y Ho Tm As
1 2 1 4
Cartesian
0.0000 0.0000 0.0000
-1.1820 2.0490 3.3447
2.3654 0.0000 3.3447
3.5474 2.0490 0.0000
0.0141 0.0000 5.0235
1.1963 2.0490 1.6750
4.7167 0.0000 1.6659
3.5345 2.0490 5.0144
```

---

No. 4
This record from Alexandria describes a geometry-optimized YHo2Tm3As6 structure. The functional is PBE.

Properties
Size of the total moment ... 0.00 μB per formula unit
Final energy ... -6.27 eV/atom
Calculated density ... 7894 kg/m³
N(E_F) ... 0.153 states/eV/atom
Formation energy from the elements ... -1.5213 eV per atom

Cell and atoms, written as POSCAR:
```
YHo2Tm3As6
1.0
8.9018 -2.0430 0.0000
8.9018 2.0430 0.0000
-1.8692 0.0000 7.9523
Y Ho Tm As
1 2 3 6
Cartesian
0.0000 0.0000 0.0000
4.6867 0.0000 5.3014
11.2478 0.0000 2.6509
-0.9346 0.0000 3.9761
5.6240 0.0000 1.3274
10.3105 0.0000 6.6249
1.8654 0.0000 4.6482
2.8317 0.0000 0.6532
8.4208 0.0000 2.0093
7.5137 0.0000 5.9430
13.1028 0.0000 7.2991
14.0691 0.0000 3.3040
```

---

No. 5
This record from Alexandria describes a geometry-optimized YHoTm2As4 structure. The functional is PBE.

Properties
Size of the total moment ... 0.00 μB per formula unit
Final energy ... -6.35 eV/atom
Calculated density ... 7662 kg/m³
N(E_F) ... 0.135 states/eV/atom
Formation energy from the elements ... -1.5241 eV per atom

Cell and atoms, written as POSCAR:
```
YHoTm2As4
1.0
7.0787 0.0000 0.0000
0.0000 4.0888 0.0000
-2.3588 0.0000 6.6748
Y Ho Tm As
1 1 2 4
Cartesian
0.0000 0.0000 0.0000
-1.1794 2.0444 3.3374
2.3599 0.0000 3.3374
3.5393 2.0444 0.0000
0.0217 0.0000 5.0074
1.2004 2.0444 1.6822
3.5194 2.0444 4.9925
4.6981 0.0000 1.6674
```

---

No. 6
This record from Alexandria describes a geometry-optimized Y3Ho2TmAs6 structure. The functional is PBE.

Properties
Size of the total moment ... 0.00 μB per formula unit
Final energy ... -6.61 eV/atom
Calculated density ... 6872 kg/m³
N(E_F) ... 0.154 states/eV/atom
Formation energy from the elements ... -1.5386 eV per atom

Cell and atoms, written as POSCAR:
```
Y3Ho2TmAs6
1.0
8.9467 -2.0531 0.0000
8.9467 2.0531 0.0000
-1.8798 0.0000 7.9914
Y Ho Tm As
3 2 1 6
Cartesian
0.0000 0.0000 0.0000
4.7097 0.0000 5.3270
11.3040 0.0000 2.6644
5.6531 0.0000 1.3345
10.3605 0.0000 6.6569
-0.9399 0.0000 3.9957
1.8661 0.0000 4.6663
2.8348 0.0000 0.6572
8.4654 0.0000 2.0198
7.5482 0.0000 5.9716
13.1789 0.0000 7.3342
14.1476 0.0000 3.3251
```

---

No. 7
This record from Alexandria describes a geometry-optimized Y2HoTmAs4 structure. The functional is PBE.

Properties
Size of the total moment ... 0.00 μB per formula unit
Final energy ... -6.61 eV/atom
Calculated density ... 6897 kg/m³
N(E_F) ... 0.131 states/eV/atom
Formation energy from the elements ... -1.5370 eV per atom

Cell and atoms, written as POSCAR:
```
Y2HoTmAs4
1.0
7.1052 0.0000 0.0000
0.0000 4.1039 0.0000
-2.3674 0.0000 6.6993
Y Ho Tm As
2 1 1 4
Cartesian
0.0000 0.0000 0.0000
3.5526 2.0519 0.0000
-1.1837 2.0519 3.3496
2.3689 0.0000 3.3496
0.0082 0.0000 5.0071
1.1920 2.0519 1.6983
3.5458 2.0519 5.0010
4.7295 0.0000 1.6922
```

---

No. 8
This record from Alexandria describes a geometry-optimized Ho2TmZrAs4 structure. The functional is PBE.

Properties
Size of the total moment ... 0.00 μB per formula unit
Final energy ... -6.52 eV/atom
Calculated density ... 8023 kg/m³
N(E_F) ... 0.177 states/eV/atom
Formation energy from the elements ... -1.4226 eV per atom

Cell and atoms, written as POSCAR:
```
Ho2TmZrAs4
1.0
6.9663 0.0000 0.0000
0.0000 4.0194 0.0000
-2.3039 0.0000 6.5762
Ho Tm Zr As
2 1 1 4
Cartesian
0.0000 0.0000 0.0000
3.4831 2.0097 0.0000
-1.1519 2.0097 3.2881
2.3312 0.0000 3.2881
0.0490 0.0000 4.8906
1.1979 2.0097 1.7058
3.4645 2.0097 4.8705
4.6134 0.0000 1.6856
```